{"formula": "Ca3GaCu8", "functional": "GGA-PBE", "state": "optimized geometry", "volume_a3_per_atom": 16.453, "crystal_system": "trigonal", "density_kg_m3": 5873, "spacegroup": "R3m (160)", "dft_energy_ev_per_atom": -3.604, "e_form_ev_per_fu": -1.4, "lattice_angstrom": [[-2.563, -2.553, -3.683], [1.918, -4.398, -1.905], [-4.415, -6.746, 4.131]], "species": ["Ca", "Cu", "Cu", "Cu", "Cu", "Ga", "Ca", "Cu", "Cu", "Cu", "Cu", "Ca"], "frac_coords": [[0.506, 0.506, 0.481], [0.434, 0.434, 0.190], [0.188, 0.188, 0.435], [0.434, 0.941, 0.190], [0.442, 0.939, 0.681], [0.870, 0.870, 0.390], [0.377, 0.377, 0.868], [0.939, 0.442, 0.681], [0.939, 0.939, 0.681], [0.941, 0.434, 0.190], [0.688, 0.688, 0.937], [0.991, 0.991, 0.026]]}

{"formula": "Ca2Ga12Cu7", "functional": "GGA-PBE", "state": "optimized geometry", "volume_a3_per_atom": 16.962, "crystal_system": "trigonal", "density_kg_m3": 6348, "spacegroup": "P-3 (147)", "dft_energy_ev_per_atom": -3.479, "e_form_ev_per_fu": -4.1, "lattice_angstrom": [[-3.576, 0.579, 1.799], [-3.632, 4.007, -8.511], [-0.782, -9.920, 1.637]], "species": ["Ga", "Cu", "Cu", "Cu", "Cu", "Ga", "Ga", "Ca", "Ga", "Cu", "Cu", "Ga", "Ga", "Cu", "Ga", "Ga", "Ga", "Ga", "Ga", "Ca", "Ga"], "frac_coords": [[0.251, 0.616, 0.053], [0.241, 0.409, 0.120], [0.759, 0.120, 0.711], [0.241, 0.711, 0.591], [0.500, 0.000, 0.000], [0.748, 0.854, 0.119], [0.251, 0.947, 0.563], [0.259, 0.333, 0.667], [0.749, 0.053, 0.437], [0.241, 0.880, 0.289], [0.759, 0.289, 0.409], [0.252, 0.146, 0.881], [0.749, 0.384, 0.947], [0.759, 0.591, 0.880], [0.251, 0.437, 0.384], [0.748, 0.881, 0.735], [0.748, 0.265, 0.146], [0.749, 0.563, 0.616], [0.252, 0.735, 0.854], [0.741, 0.667, 0.333], [0.252, 0.119, 0.265]]}

{"formula": "CaGa2Cu3", "functional": "GGA-PBE", "state": "optimized geometry", "volume_a3_per_atom": 17.224, "crystal_system": "orthorhombic", "density_kg_m3": 5948, "spacegroup": "Cmcm (63)", "dft_energy_ev_per_atom": -3.626, "e_form_ev_per_fu": -1.4, "lattice_angstrom": [[5.230, 0.000, 0.000], [0.000, 6.331, 0.105], [0.000, -1.169, 6.223]], "species": ["Cu", "Ga", "Cu", "Cu", "Ca", "Cu", "Cu", "Ga", "Ga", "Ga", "Cu", "Ca"], "frac_coords": [[0.750, 0.085, 0.455], [0.500, 0.781, 0.219], [0.250, 0.545, 0.915], [0.250, 0.939, 0.939], [0.750, 0.683, 0.683], [0.250, 0.915, 0.545], [0.750, 0.455, 0.085], [0.000, 0.781, 0.219], [0.000, 0.219, 0.781], [0.500, 0.219, 0.781], [0.750, 0.061, 0.061], [0.250, 0.317, 0.317]]}

{"formula": "Ca3Ga7Cu2", "functional": "GGA-PBE", "state": "optimized geometry", "volume_a3_per_atom": 22.171, "crystal_system": "orthorhombic", "density_kg_m3": 4590, "spacegroup": "Cmmm (65)", "dft_energy_ev_per_atom": -3.093, "e_form_ev_per_fu": -1.7, "lattice_angstrom": [[-0.872, 4.332, 0.917], [-3.285, -1.287, 2.959], [10.265, 0.376, 7.978]], "species": ["Ga", "Ca", "Ga", "Ga", "Ca", "Ga", "Ga", "Cu", "Ga", "Cu", "Ca", "Ga"], "frac_coords": [[0.500, 0.884, 0.768], [0.500, 0.500, 0.000], [0.500, 0.116, 0.232], [0.000, 0.386, 0.772], [0.500, 0.301, 0.602], [0.000, 0.197, 0.394], [0.000, 0.000, 0.000], [0.000, 0.088, 0.177], [0.000, 0.614, 0.228], [0.000, 0.912, 0.823], [0.500, 0.699, 0.398], [0.000, 0.803, 0.606]]}

{"formula": "Ca3Ga2Cu3", "functional": "GGA-PBE", "state": "optimized geometry", "volume_a3_per_atom": 21.483, "crystal_system": "orthorhombic", "density_kg_m3": 4351, "spacegroup": "Pnma (62)", "dft_energy_ev_per_atom": -3.337, "e_form_ev_per_fu": -2.3, "lattice_angstrom": [[5.927, 0.000, 0.000], [0.000, 7.757, 0.000], [0.000, 0.000, 14.953]], "species": ["Ca", "Ga", "Ca", "Ca", "Ga", "Ca", "Ca", "Cu", "Ga", "Cu", "Ga", "Ga", "Ga", "Cu", "Ga", "Ca", "Cu", "Cu", "Ca", "Cu", "Ca", "Cu", "Ca", "Ga", "Ca", "Cu", "Cu", "Ca", "Cu", "Cu", "Cu", "Ca"], "frac_coords": [[0.140, 0.477, 0.105], [0.367, 0.368, 0.601], [0.640, 0.023, 0.895], [0.617, 0.339, 0.250], [0.633, 0.632, 0.101], [0.360, 0.977, 0.105], [0.360, 0.977, 0.395], [0.584, 0.312, 0.750], [0.633, 0.632, 0.399], [0.404, 0.665, 0.962], [0.367, 0.368, 0.899], [0.867, 0.132, 0.399], [0.133, 0.868, 0.601], [0.596, 0.335, 0.038], [0.867, 0.132, 0.101], [0.860, 0.523, 0.895], [0.904, 0.835, 0.462], [0.404, 0.665, 0.538], [0.860, 0.523, 0.605], [0.416, 0.688, 0.250], [0.883, 0.839, 0.250], [0.096, 0.165, 0.962], [0.140, 0.477, 0.395], [0.133, 0.868, 0.899], [0.640, 0.023, 0.605], [0.084, 0.188, 0.250], [0.904, 0.835, 0.038], [0.383, 0.661, 0.750], [0.916, 0.812, 0.750], [0.096, 0.165, 0.538], [0.596, 0.335, 0.462], [0.117, 0.161, 0.750]]}

{"formula": "CaGa4Cu3", "functional": "GGA-PBE", "state": "optimized geometry", "volume_a3_per_atom": 17.515, "crystal_system": "tetragonal", "density_kg_m3": 6039, "spacegroup": "P4/mmm (123)", "dft_energy_ev_per_atom": -3.528, "e_form_ev_per_fu": -1.8, "lattice_angstrom": [[4.145, 0.000, 0.000], [0.000, 4.145, 0.000], [0.000, 0.000, 8.154]], "species": ["Ga", "Ga", "Ca", "Cu", "Ga", "Cu", "Ga", "Cu"], "frac_coords": [[0.000, 0.500, 0.177], [0.500, 0.000, 0.823], [0.000, 0.000, 0.500], [0.500, 0.500, 0.650], [0.000, 0.500, 0.823], [0.500, 0.500, 0.350], [0.500, 0.000, 0.177], [0.000, 0.000, 0.000]]}